1.
A plane-wave DFT calculation with PBE was carried out for a relaxed structure of Sc2TiSbPb.

## Properties
space group = P4/mmm (123)
density of states at the Fermi level = 1.28 states/eV/atom

a b c (Å): 5.380 5.170 5.380
angles (deg): 90.00 90.00 90.00
Last column: magnetic moment on the atom in μB.
Fractional positions:
Pb 0.000 0.000 0.000  -0.03
Sc 0.500 0.000 0.000  0.20
Sc 0.000 0.000 0.500  0.26
Sb 0.500 0.500 0.500  -0.06
Ti 0.000 0.500 0.000  1.51

=====

2.
A plane-wave DFT calculation with PBE was carried out for a relaxed structure of YScSb2Pb.

## Properties
space group = P4/mmm (123)
density of states at the Fermi level = 1.00 states/eV/atom

a b c (Å): 5.606 5.579 5.606
angles (deg): 90.00 90.00 90.00
Fractional positions:
Sb 0.000 0.000 0.500
Sb 0.500 0.000 0.000
Sc 0.000 0.000 0.000
Y 0.500 0.500 0.500
Pb 0.000 0.500 0.000

=====

3.
A plane-wave DFT calculation with PBE was carried out for a relaxed structure of Sb5Pb3Se12.

## Properties
space group = Ia-3d (230)
density of states at the Fermi level = 0.27 states/eV/atom

a b c (Å): 14.882 14.882 14.882
angles (deg): 109.47 109.47 109.47
Fractional positions:
Pb 0.375 0.625 0.250
Pb 0.625 0.375 0.750
Pb 0.875 0.750 0.125
Pb 0.250 0.625 0.875
Pb 0.250 0.125 0.375
Pb 0.875 0.125 0.250
Pb 0.375 0.750 0.625
Pb 0.750 0.875 0.625
Pb 0.125 0.875 0.750
Pb 0.625 0.250 0.375
Pb 0.750 0.375 0.125
Pb 0.125 0.250 0.875
Sb 0.375 0.125 0.750
Sb 0.000 0.500 0.000
Sb 0.625 0.750 0.875
Sb 0.875 0.250 0.625
Sb 0.125 0.375 0.250
Sb 0.000 0.500 0.500
Sb 0.500 0.500 0.500
Sb 0.625 0.875 0.250
Sb 0.000 0.000 0.500
Sb 0.000 0.000 0.000
Sb 0.500 0.500 0.000
Sb 0.250 0.875 0.125
Sb 0.750 0.125 0.875
Sb 0.500 0.000 0.000
Sb 0.750 0.625 0.375
Sb 0.500 0.000 0.500
Sb 0.250 0.375 0.625
Sb 0.875 0.625 0.750
Sb 0.375 0.250 0.125
Sb 0.125 0.750 0.375
Se 0.961 0.373 0.286
Se 0.175 0.088 0.961
Se 0.413 0.286 0.325
Se 0.325 0.786 0.413
Se 0.913 0.825 0.786
Se 0.214 0.675 0.087
Se 0.588 0.961 0.675
Se 0.127 0.714 0.539
Se 0.825 0.913 0.286
Se 0.587 0.714 0.675
Se 0.087 0.912 0.373
Se 0.961 0.588 0.175
Se 0.373 0.412 0.087
Se 0.039 0.412 0.825
Se 0.588 0.627 0.413
Se 0.461 0.786 0.873
Se 0.786 0.461 0.373
Se 0.286 0.873 0.961
Se 0.714 0.127 0.039
Se 0.675 0.461 0.588
Se 0.088 0.913 0.127
Se 0.088 0.175 0.461
Se 0.412 0.039 0.325
Se 0.627 0.039 0.214
Se 0.913 0.088 0.627
Se 0.461 0.675 0.088
Se 0.873 0.587 0.912
Se 0.413 0.127 0.588
Se 0.286 0.413 0.825
Se 0.539 0.325 0.912
Se 0.786 0.325 0.913
Se 0.087 0.175 0.214
Se 0.825 0.912 0.039
Se 0.373 0.961 0.786
Se 0.127 0.413 0.088
Se 0.627 0.588 0.913
Se 0.539 0.214 0.127
Se 0.873 0.286 0.461
Se 0.325 0.539 0.412
Se 0.675 0.214 0.587
Se 0.175 0.087 0.714
Se 0.412 0.373 0.587
Se 0.039 0.627 0.714
Se 0.714 0.587 0.175
Se 0.912 0.087 0.873
Se 0.214 0.539 0.627
Se 0.587 0.873 0.412
Se 0.912 0.825 0.539

=====

4.
A plane-wave DFT calculation with PBE was carried out for a relaxed structure of SbPb5Se7.

## Properties
space group = Cmcm (63)
density of states at the Fermi level = 0.55 states/eV/atom

a b c (Å): 4.194 7.544 25.512
angles (deg): 89.99 90.00 106.14
Fractional positions:
Pb 0.531 0.061 0.153
Pb 0.530 0.061 0.347
Pb 0.470 0.940 0.846
Pb 0.470 0.940 0.653
Pb 0.000 0.001 0.000
Pb 0.000 0.000 0.500
Pb 0.269 0.538 0.076
Pb 0.732 0.463 0.923
Pb 0.269 0.538 0.423
Pb 0.731 0.463 0.577
Se 0.365 0.730 0.960
Se 0.589 0.178 0.750
Se 0.365 0.729 0.540
Se 0.412 0.823 0.250
Se 0.186 0.371 0.318
Se 0.635 0.271 0.461
Se 0.815 0.629 0.682
Se 0.090 0.180 0.890
Se 0.186 0.372 0.182
Se 0.636 0.272 0.039
Se 0.911 0.821 0.109
Se 0.815 0.630 0.818
Se 0.911 0.821 0.391
Se 0.090 0.180 0.609
Sb 0.227 0.454 0.750
Sb 0.774 0.547 0.250

=====

5.
A plane-wave DFT calculation with PBE was carried out for a relaxed structure of Sb2PbSe4.

## Properties
space group = Cmcm (63)
density of states at the Fermi level = 0.13 states/eV/atom

a b c (Å): 4.136 7.094 14.288
angles (deg): 90.00 90.00 106.95
Fractional positions:
Se 0.500 0.000 0.000
Se 0.772 0.544 0.117
Se 0.228 0.456 0.617
Se 0.228 0.456 0.883
Se 0.772 0.544 0.383
Se 0.942 0.885 0.750
Se 0.500 0.000 0.500
Se 0.058 0.115 0.250
Sb 0.139 0.277 0.438
Sb 0.861 0.723 0.562
Sb 0.861 0.723 0.938
Sb 0.139 0.277 0.062
Pb 0.591 0.182 0.750
Pb 0.409 0.818 0.250

=====

6.
A plane-wave DFT calculation with PBE was carried out for a relaxed structure of SbPbSe.

## Properties
space group = P3m1 (156)
density of states at the Fermi level = 0.47 states/eV/atom

a b c (Å): 3.819 3.819 6.709
angles (deg): 90.00 90.00 120.00
Fractional positions:
Se 0.333 0.667 0.652
Sb 0.667 0.333 0.367
Pb 0.000 0.000 0.981

=====

no.,formation energy from raw total energies (eV per atom),total moment (μB per atom),calculated volume (A^3/atom)
1,0.4514,0.519,29.93
2,0.0070,0.000,35.07
3,-0.2129,0.000,31.71
4,-0.4197,0.000,29.82
5,-0.3221,0.000,28.64
6,-0.0081,0.000,28.25